# 1
# PBE KPmPbI6, optimized geometry
# formation energy without anion corrections = -1.18 eV/atom
# DFT total energy = -3.27 eV/atom
# size of the total moment = 0.0000 μB per atom
data_KPmPbI6
_chemical_formula_sum 'K2 Pm2 Pb2 I12'
_symmetry_space_group_name_H-M 'P -3 1 c'
_symmetry_Int_Tables_number 163
_symmetry_space_group_name_Hall '-P 3 2c'
_cell_length_a 8.1790
_cell_length_b 8.1790
_cell_length_c 15.5381
_cell_angle_alpha 90.00
_cell_angle_beta 90.00
_cell_angle_gamma 120.00
loop_
_atom_site_label
_atom_site_fract_x
_atom_site_fract_y
_atom_site_fract_z
K1 0.0000 0.0000 0.0000
Pm1 0.3333 0.6667 0.2500
Pb1 0.3333 0.6667 0.7500
I1 0.0123 0.3706 0.1326



# 2
# PBE KPrPbI6, optimized geometry
# formation energy without anion corrections = -1.18 eV/atom
# DFT total energy = -3.28 eV/atom
# size of the total moment = 0.0000 μB per atom
data_KPrPbI6
_chemical_formula_sum 'K2 Pr2 Pb2 I12'
_symmetry_space_group_name_H-M 'P -3 1 c'
_symmetry_Int_Tables_number 163
_symmetry_space_group_name_Hall '-P 3 2c'
_cell_length_a 8.2172
_cell_length_b 8.2172
_cell_length_c 15.5685
_cell_angle_alpha 90.00
_cell_angle_beta 90.00
_cell_angle_gamma 120.00
loop_
_atom_site_label
_atom_site_fract_x
_atom_site_fract_y
_atom_site_fract_z
K1 0.0000 0.0000 0.0000
Pr1 0.3333 0.6667 0.2500
Pb1 0.3333 0.6667 0.7500
I1 0.0084 0.3679 0.1318



# 3
# PBE KPuPbI6, optimized geometry
# formation energy without anion corrections = -0.98 eV/atom
# DFT total energy = -4.14 eV/atom
# size of the total moment = 0.5556 μB per atom
data_KPuPbI6
_chemical_formula_sum 'K2 Pu2 Pb2 I12'
_symmetry_space_group_name_H-M 'P 42 n m'
_symmetry_Int_Tables_number 102
_cell_length_a 7.792
_cell_length_b 7.792
_cell_length_c 14.558
_cell_angle_alpha 90.00
_cell_angle_beta 90.00
_cell_angle_gamma 90.00
loop_
_symmetry_equiv_pos_as_xyz
'x,y,z'
'-y+1/2,x+1/2,z+1/2'
'-x,-y,z'
'y+1/2,-x+1/2,z+1/2'
'-x+1/2,y+1/2,z+1/2'
'y,x,z'
'x+1/2,-y+1/2,z+1/2'
'-y,-x,z'
loop_
_atom_site_label
_atom_site_fract_x
_atom_site_fract_y
_atom_site_fract_z
K1 0.000 0.000 0.000
Pu1 0.000 0.000 0.333
Pb1 0.000 0.000 0.668
I1 0.184 0.184 0.495
I2 0.203 0.203 0.185
I3 0.217 0.217 0.824



Copy entry 1 word for word.
# PBE KPmPbI6, optimized geometry
# formation energy without anion corrections = -1.18 eV/atom
# DFT total energy = -3.27 eV/atom
# size of the total moment = 0.0000 μB per atom
data_KPmPbI6
_chemical_formula_sum 'K2 Pm2 Pb2 I12'
_symmetry_space_group_name_H-M 'P -3 1 c'
_symmetry_Int_Tables_number 163
_symmetry_space_group_name_Hall '-P 3 2c'
_cell_length_a 8.1790
_cell_length_b 8.1790
_cell_length_c 15.5381
_cell_angle_alpha 90.00
_cell_angle_beta 90.00
_cell_angle_gamma 120.00
loop_
_atom_site_label
_atom_site_fract_x
_atom_site_fract_y
_atom_site_fract_z
K1 0.0000 0.0000 0.0000
Pm1 0.3333 0.6667 0.2500
Pb1 0.3333 0.6667 0.7500
I1 0.0123 0.3706 0.1326



Question: Number 2 is which compound?
Answer: KPrPbI6



Question: Which formula does entry 1 have?
Answer: KPmPbI6